Record 1
A geometry-optimized K4Rb structure. Source: the Alexandria database, functional PBE. Values from VASP.

Properties
Formation enthalpy at 0 K, eV per atom: 0.01
Polymorph energy (0 for the lowest one), eV per formula unit: 0.000
D(E_F), states/eV/f.u.: 4.18
Space-group type: P-1

Cell and atoms, written as Quantum ESPRESSO input:
```
&SYSTEM
  ibrav = 0, nat = 5, ntyp = 2
/
ATOMIC_SPECIES
K 39.10 K.upf
Rb 85.47 Rb.upf
CELL_PARAMETERS angstrom
4.4233 -0.0071 -1.1586
-0.4717 7.3841 -1.9496
0.4721 -0.8981 11.7638
ATOMIC_POSITIONS angstrom
K 2.4674 4.2523 0.5148
K 1.9563 2.2266 8.1408
K 1.2248 5.3132 4.9501
K 3.1990 1.1657 3.7055
Rb 0.0000 0.0000 0.0000
```


Record 2
A geometry-optimized LaYHoTl structure. Source: the Alexandria database, functional PBE. Values from VASP.

Properties
Formation enthalpy at 0 K, eV per atom: -0.08
D(E_F), states/eV/f.u.: 5.16
Space-group type: F-43m

Cell and atoms, written as Quantum ESPRESSO input:
```
&SYSTEM
  ibrav = 0, nat = 4, ntyp = 4
/
ATOMIC_SPECIES
Tl 204.38 Tl.upf
Ho 164.93 Ho.upf
La 138.91 La.upf
Y 88.91 Y.upf
CELL_PARAMETERS angstrom
5.5697 0.0000 0.0000
2.7848 4.8235 0.0000
2.7848 1.6078 4.5476
ATOMIC_POSITIONS angstrom
Tl 5.5697 3.2157 2.2738
Ho 0.0000 0.0000 0.0000
La 2.7848 1.6078 1.1369
Y 8.3545 4.8235 3.4107
```